No. 1
VASP calculation (PBE) on a relaxed TiReSnRu crystal.

Output
- Crystal system: cubic
- Calculated formation energy: -0.218 eV per atom
- SG: F-43m, No. 216

a = 4.4880 Å, b = 4.4880 Å, c = 4.4880 Å
α = 60.00°, β = 60.00°, γ = 60.00°
Closest atoms and distances in Å follow each position.
Sites, in units of the cell vectors:
Ru 0.7500 0.7500 0.7500  4 Sn 2.75, 4 Ti 2.75
Sn 0.5000 0.5000 0.5000  4 Re 2.75, 4 Ru 2.75
Ti 0.0000 0.0000 0.0000  4 Re 2.75, 4 Ru 2.75
Re 0.2500 0.2500 0.2500  4 Sn 2.75, 4 Ti 2.75

---

No. 2
VASP calculation (PBE) on a relaxed VReSnRu crystal.

Output
- Crystal system: cubic
- Calculated formation energy: -0.010 eV per atom
- SG: F-43m, No. 216

a = 4.4388 Å, b = 4.4388 Å, c = 4.4388 Å
α = 60.00°, β = 60.00°, γ = 60.00°
Closest atoms and distances in Å follow each position.
Sites, in units of the cell vectors:
Re 0.2500 0.2500 0.2500  4 V 2.72, 4 Sn 2.72
Ru 0.7500 0.7500 0.7500  4 Sn 2.72, 4 V 2.72
Sn 0.5000 0.5000 0.5000  4 Re 2.72, 4 Ru 2.72
V 0.0000 0.0000 0.0000  4 Ru 2.72, 4 Re 2.72

---

Please write out number 1 again, unchanged.
VASP calculation (PBE) on a relaxed TiReSnRu crystal.

Output
- Crystal system: cubic
- Calculated formation energy: -0.218 eV per atom
- SG: F-43m, No. 216

a = 4.4880 Å, b = 4.4880 Å, c = 4.4880 Å
α = 60.00°, β = 60.00°, γ = 60.00°
Closest atoms and distances in Å follow each position.
Sites, in units of the cell vectors:
Ru 0.7500 0.7500 0.7500  4 Sn 2.75, 4 Ti 2.75
Sn 0.5000 0.5000 0.5000  4 Re 2.75, 4 Ru 2.75
Ti 0.0000 0.0000 0.0000  4 Re 2.75, 4 Ru 2.75
Re 0.2500 0.2500 0.2500  4 Sn 2.75, 4 Ti 2.75

---

Question: What is the calculated formation energy in the second record?
Answer: -0.010 eV per atom